# 1
Entry from Alexandria via LeMat-Bulk: a relaxed structure of LiBeInPd (PBE).

Properties
* energy relative to the elements: -0.259 eV per atom
* calculated total energy: -3.652 eV per atom
* magnetic moment: 0.00 μB per formula unit

a b c (Å): 6.077 6.077 6.077
angles (deg): 90.00 90.00 90.00
Space group F-43m (No. 216)
Unique sites:
Li 0.000 0.000 0.000 x4
Be 0.000 0.000 0.500 x4
In 0.250 0.250 0.250 x4
Pd 0.250 0.250 0.750 x4

=====

# 2
Entry from Alexandria via LeMat-Bulk: a relaxed structure of SrCeCd10 (PBE).

Properties
* energy relative to the elements: -0.163 eV per atom
* calculated total energy: -1.560 eV per atom
* magnetic moment: 1.13 μB per formula unit

a b c (Å): 4.865 5.974 10.339
angles (deg): 90.00 90.00 90.00
Space group Pmmm (No. 47)
Unique sites:
Sr 0.000 0.000 0.000 x1
Ce 0.000 0.500 0.500 x1
Cd 0.000 0.000 0.335 x2
Cd 0.000 0.500 0.168 x2
Cd 0.500 0.000 0.500 x1
Cd 0.500 0.255 0.258 x4
Cd 0.500 0.500 0.000 x1

=====

# 3
Entry from Alexandria via LeMat-Bulk: a relaxed structure of Rb5TlBr8 (PBE).

Properties
* uncorrected formation energy: -1.34 eV/atom
* calculated total energy: -2.806 eV per atom
* magnetic moment: 0.27 μB per formula unit

a b c (Å): 10.217 10.217 11.139
angles (deg): 90.00 90.00 90.00
Space group I-4 (No. 82)
Unique sites:
Rb 0.000 0.000 0.000 x2
Rb 0.135 0.279 0.620 x8
Tl 0.000 0.500 0.250 x2
Br 0.045 0.249 0.309 x8
Br 0.097 0.311 0.928 x8